Record 1
Here is a relaxed HfCuPb crystal from OQMD via LeMat-Bulk. Energies are from GGA-PBE.

Unit cell a=3.3369 b=3.3369 c=10.8123 alpha=90.00 beta=90.00 gamma=90.00
Fractional coordinates of all 6 atoms:
Hf 0.0000 0.0000 0.0000
Hf 0.5000 0.5000 0.5000
Cu 0.0000 0.0000 0.3669
Cu 0.0000 0.0000 0.6331
Pb 0.5000 0.5000 0.2002
Pb 0.5000 0.5000 0.7998

Values from the calculation:
Total magnetic moment ... 0.14 μB/f.u.
Symmetry ... No. 123
E ... -0.2080 hartree per atom
Crystal system ... tetragonal


Record 2
Here is a relaxed HfCuPb2 crystal from OQMD via LeMat-Bulk. Energies are from GGA-PBE.

Unit cell a=5.1247 b=5.1247 c=5.1247 alpha=60.00 beta=60.00 gamma=60.00
Fractional coordinates of all 4 atoms:
Hf 0.0000 0.0000 0.0000
Cu 0.2500 0.2500 0.2500
Pb 0.5000 0.5000 0.5000
Pb 0.7500 0.7500 0.7500

Values from the calculation:
Total magnetic moment ... 0.01 μB/f.u.
Symmetry ... No. 216
E ... -0.1763 hartree per atom
Crystal system ... cubic


Record 3
Here is a relaxed Hf3Cu4Pb4 crystal from OQMD via LeMat-Bulk. Energies are from GGA-PBE.

Unit cell a=7.6561 b=7.6561 c=7.6561 alpha=131.84 beta=131.84 gamma=70.48
Fractional coordinates of all 11 atoms:
Hf 0.0000 0.0000 0.0000
Hf 0.2500 0.7500 0.5000
Hf 0.7500 0.2500 0.5000
Cu 0.1153 0.6327 0.0000
Cu 0.3673 0.3673 0.4826
Cu 0.6327 0.1153 0.0000
Cu 0.8847 0.8847 0.5174
Pb 0.0000 0.5000 0.5000
Pb 0.2646 0.2646 0.0000
Pb 0.5000 0.0000 0.5000
Pb 0.7354 0.7354 0.0000

Values from the calculation:
Offset from the most stable computed form ... 0 meV/atom
Total magnetic moment ... 0.00 μB/f.u.
Symmetry ... No. 121
E ... -0.1966 hartree per atom
Crystal system ... tetragonal


Record 4
Here is a relaxed HfCuPb crystal from OQMD via LeMat-Bulk. Energies are from GGA-PBE.

Unit cell a=3.3266 b=3.3266 c=11.1019 alpha=90.00 beta=90.00 gamma=90.00
Fractional coordinates of all 6 atoms:
Hf 0.2500 0.2500 0.1865
Hf 0.7500 0.7500 0.8135
Cu 0.2500 0.2500 0.9447
Cu 0.7500 0.7500 0.0553
Pb 0.2500 0.2500 0.6191
Pb 0.7500 0.7500 0.3809

Values from the calculation:
Total magnetic moment ... 0.01 μB/f.u.
Symmetry ... No. 129
E ... -0.2108 hartree per atom
Crystal system ... tetragonal


Record 5
Here is a relaxed HfCuRePb crystal from OQMD via LeMat-Bulk. Energies are from GGA-PBE.

Unit cell a=4.6903 b=4.6903 c=4.6903 alpha=60.00 beta=60.00 gamma=60.00
Fractional coordinates of all 4 atoms:
Hf 0.0000 0.0000 0.0000
Cu 0.5000 0.5000 0.5000
Re 0.7500 0.7500 0.7500
Pb 0.2500 0.2500 0.2500

Values from the calculation:
Offset from the most stable computed form ... 202 meV/atom
Total magnetic moment ... 0.01 μB/f.u.
Symmetry ... No. 216
E ... -0.2520 hartree per atom
Crystal system ... cubic


Record 6
Here is a relaxed HfCuRePb crystal from OQMD via LeMat-Bulk. Energies are from GGA-PBE.

Unit cell a=4.6692 b=4.6692 c=4.6692 alpha=60.00 beta=60.00 gamma=60.00
Fractional coordinates of all 4 atoms:
Hf 0.0000 0.0000 0.0000
Cu 0.7500 0.7500 0.7500
Re 0.2500 0.2500 0.2500
Pb 0.5000 0.5000 0.5000

Values from the calculation:
Offset from the most stable computed form ... 0 meV/atom
Total magnetic moment ... 0.00 μB/f.u.
Symmetry ... No. 216
E ... -0.2594 hartree per atom
Crystal system ... cubic